A geometry-optimized ErZrTcRh structure, computed with PBE.

## Properties
energy of formation = -527.1 meV per atom
space-group type = F-43m, No. 216

Cell: 4.719 4.719 4.719 Å, 60.00 60.00 60.00°
Element x y z (fractional)
1 Er 0.000 0.000 0.000
2 Zr 0.500 0.500 0.500
3 Tc 0.750 0.750 0.750
4 Rh 0.250 0.250 0.250

---

A geometry-optimized Er7Te2Rh2 structure, computed with PBE.

## Properties
raw formation energy = -9.8 eV/f.u.
space-group type = Imm2, No. 44

Cell: 9.355 9.355 9.355 Å, 156.06 66.38 119.12°
Element x y z (fractional)
1 Er 0.000 0.000 0.000
2 Er 0.056 0.373 0.683
3 Er 0.085 0.732 0.353
4 Er 0.379 0.732 0.647
5 Er 0.450 0.582 0.868
6 Er 0.690 0.373 0.317
7 Er 0.713 0.582 0.132
8 Te 0.337 0.337 0.000
9 Te 0.734 0.234 0.500
10 Rh 0.307 0.069 0.238
11 Rh 0.832 0.069 0.762

---

A geometry-optimized Er3Te2Rh structure, computed with PBE.

## Properties
raw formation energy = -5.9 eV/f.u.
space-group type = Cmmm, No. 65

Cell: 7.864 7.864 4.121 Å, 90.00 90.00 135.35°
Element x y z (fractional)
1 Er 0.000 0.000 0.000
2 Er 0.377 0.623 0.500
3 Er 0.623 0.377 0.500
4 Te 0.160 0.840 0.500
5 Te 0.840 0.160 0.500
6 Rh 0.500 0.500 0.000

---

A geometry-optimized Er6Te3Rh structure, computed with PBE.

## Properties
raw formation energy = -8.8 eV/f.u.
space-group type = P2_1/m, No. 11

Cell: 12.117 3.903 12.388 Å, 90.00 104.99 90.00°
Element x y z (fractional)
1 Er 0.009 0.250 0.352
2 Er 0.083 0.250 0.889
3 Er 0.273 0.750 0.313
4 Er 0.283 0.750 0.765
5 Er 0.403 0.250 0.557
6 Er 0.462 0.750 0.151
7 Er 0.538 0.250 0.849
8 Er 0.597 0.750 0.443
9 Er 0.717 0.250 0.235
10 Er 0.727 0.250 0.687
11 Er 0.917 0.750 0.111
12 Er 0.991 0.750 0.648
13 Te 0.117 0.250 0.146
14 Te 0.171 0.750 0.513
15 Te 0.342 0.250 0.963
16 Te 0.658 0.750 0.037
17 Te 0.829 0.250 0.487
18 Te 0.883 0.750 0.854
19 Rh 0.452 0.250 0.323
20 Rh 0.548 0.750 0.677

---

A geometry-optimized Er4TeRh structure, computed with PBE.

## Properties
raw formation energy = -3.0 eV/f.u.
space-group type = C2/m, No. 12

Cell: 9.889 9.889 9.495 Å, 113.69 113.69 31.31°
Element x y z (fractional)
1 Er 0.029 0.029 0.206
2 Er 0.200 0.200 0.893
3 Er 0.246 0.246 0.313
4 Er 0.397 0.397 0.980
5 Er 0.603 0.603 0.020
6 Er 0.754 0.754 0.687
7 Er 0.800 0.800 0.107
8 Er 0.971 0.971 0.794
9 Te 0.165 0.165 0.541
10 Te 0.835 0.835 0.459
11 Rh 0.113 0.113 0.047
12 Rh 0.887 0.887 0.953

---

A geometry-optimized Er8Te2Rh3 structure, computed with PBE.

## Properties
raw formation energy = -9.5 eV/f.u.
space-group type = P2/m, No. 10

Cell: 8.915 4.791 8.922 Å, 90.00 114.64 90.00°
Element x y z (fractional)
1 Er 0.107 0.000 0.393
2 Er 0.143 0.500 0.862
3 Er 0.362 0.500 0.643
4 Er 0.388 0.000 0.112
5 Er 0.612 0.000 0.888
6 Er 0.638 0.500 0.357
7 Er 0.857 0.500 0.138
8 Er 0.893 0.000 0.607
9 Te 0.245 0.500 0.256
10 Te 0.755 0.500 0.744
11 Rh 0.253 0.000 0.754
12 Rh 0.500 0.500 0.000
13 Rh 0.747 0.000 0.246

---

A geometry-optimized Er5Te4Rh structure, computed with PBE.

## Properties
raw formation energy = -11.6 eV/f.u.
space-group type = I4/m, No. 87

Cell: 7.454 7.454 7.454 Å, 99.57 99.57 131.88°
Element x y z (fractional)
1 Er 0.000 0.000 0.000
2 Er 0.240 0.406 0.647
3 Er 0.406 0.760 0.166
4 Er 0.594 0.240 0.834
5 Er 0.760 0.594 0.353
6 Te 0.087 0.689 0.777
7 Te 0.311 0.087 0.398
8 Te 0.689 0.913 0.602
9 Te 0.913 0.311 0.223
10 Rh 0.500 0.500 0.000

---

A geometry-optimized ErTe2Rh structure, computed with PBE.

## Properties
raw formation energy = -1.2 eV/f.u.
space-group type = R-3m, No. 166

Cell: 9.136 9.136 9.136 Å, 24.85 24.85 24.85°
Element x y z (fractional)
1 Er 0.000 0.000 0.000
2 Te 0.114 0.114 0.114
3 Te 0.886 0.886 0.886
4 Rh 0.500 0.500 0.500

---

A geometry-optimized Er5TeRh2 structure, computed with PBE.

## Properties
raw formation energy = -6.7 eV/f.u.
space-group type = I4/mcm, No. 140

Cell: 8.651 8.651 8.651 Å, 127.46 127.46 77.50°
Element x y z (fractional)
1 Er 0.000 0.000 0.000
2 Er 0.019 0.519 0.810
3 Er 0.210 0.019 0.500
4 Er 0.290 0.790 0.810
5 Er 0.481 0.290 0.500
6 Er 0.500 0.500 0.000
7 Er 0.519 0.710 0.500
8 Er 0.710 0.210 0.190
9 Er 0.790 0.981 0.500
10 Er 0.981 0.481 0.190
11 Te 0.250 0.250 0.000
12 Te 0.750 0.750 0.000
13 Rh 0.142 0.358 0.500
14 Rh 0.358 0.858 0.216
15 Rh 0.642 0.142 0.784
16 Rh 0.858 0.642 0.500

---

A geometry-optimized Er3Te2Rh structure, computed with PBE.

## Properties
raw formation energy = -6.4 eV/f.u.
space-group type = I4/mmm, No. 139

Cell: 9.655 9.655 9.655 Å, 154.88 154.88 35.83°
Element x y z (fractional)
1 Er 0.000 0.000 0.000
2 Er 0.360 0.360 0.000
3 Er 0.640 0.640 0.000
4 Te 0.179 0.179 0.000
5 Te 0.821 0.821 0.000
6 Rh 0.500 0.500 0.000

---

A geometry-optimized Er5Te2Rh2 structure, computed with PBE.

## Properties
raw formation energy = -9.3 eV/f.u.
space-group type = Cmce, No. 64

Cell: 8.670 8.670 7.693 Å, 90.00 90.00 52.93°
Element x y z (fractional)
1 Er 0.000 0.000 0.000
2 Er 0.043 0.724 0.658
3 Er 0.224 0.543 0.158
4 Er 0.276 0.957 0.658
5 Er 0.457 0.776 0.158
6 Er 0.500 0.500 0.500
7 Er 0.543 0.224 0.842
8 Er 0.724 0.043 0.342
9 Er 0.776 0.457 0.842
10 Er 0.957 0.276 0.342
11 Te 0.210 0.210 0.000
12 Te 0.290 0.290 0.500
13 Te 0.710 0.710 0.500
14 Te 0.790 0.790 0.000
15 Rh 0.140 0.860 0.362
16 Rh 0.360 0.640 0.862
17 Rh 0.640 0.360 0.138
18 Rh 0.860 0.140 0.638

---

A geometry-optimized Er2TeRh structure, computed with PBE.

## Properties
raw formation energy = -4.1 eV/f.u.
space-group type = R3m, No. 160

Cell: 7.513 7.513 7.513 Å, 31.77 31.77 31.77°
Element x y z (fractional)
1 Er 0.000 0.000 0.000
2 Er 0.196 0.196 0.196
3 Te 0.433 0.433 0.433
4 Rh 0.596 0.596 0.596

---

Calculated values (g cm⁻³) of density for the records, taken in order: 10.27; 9.41; 7.97; 8.74; 6.81; 9.12; 8.55; 7.36; 9.82; 8.81; 9.34; 8.99.